1.
4
Lattice="0.0000 3.0918 3.0918 3.0918 0.0000 3.0918 3.0918 3.0918 0.0000" Properties=species:S:1:pos:R:3 comment="GGA-PBE YMgNiB, relaxed" space_group="F-43m, No. 216" total_energy_ev_per_atom=-4.7119 magmom_total_mub_per_fu=0.0 pbc="T T T"
Y 0.0000 0.0000 0.0000
Mg 1.5459 1.5459 1.5459
Ni 4.6377 4.6377 4.6377
B 3.0918 3.0918 3.0918


2.
3
Lattice="0.0000 3.4078 3.4078 3.4078 0.0000 3.4078 3.4078 3.4078 0.0000" Properties=species:S:1:pos:R:3 comment="GGA-PBE HoSiHg, relaxed" space_group="F-43m, No. 216" total_energy_ev_per_atom=-3.4688 magmom_total_mub_per_fu=0.0 pbc="T T T"
Ho 0.0000 0.0000 0.0000
Si 1.7039 1.7039 1.7039
Hg 5.1117 5.1117 5.1117


3.
32
Lattice="5.1153 0.0000 0.0000 0.0000 3.5709 0.0000 -0.0101 0.0000 34.2241" Properties=species:S:1:pos:R:3 comment="GGA-PBE InCu15, relaxed" space_group="P2_1/m, No. 11" total_energy_ev_per_atom=-3.5848 pbc="T T T"
In 0.6368 0.8927 10.1442
In 4.4683 2.6782 24.0799
Cu 0.6246 0.8927 28.4965
Cu 0.6387 0.8927 1.9024
Cu 0.6384 0.8927 4.4435
Cu 0.6369 0.8927 7.0185
Cu 0.6296 0.8927 25.9153
Cu 0.6325 0.8927 31.0424
Cu 0.6312 0.8927 33.5860
Cu 1.9098 2.6782 5.7236
Cu 1.9123 2.6782 8.3061
Cu 1.9197 2.6782 0.6309
Cu 1.9193 2.6782 3.1757
Cu 1.9113 2.6782 24.6891
Cu 1.9104 2.6782 27.2222
Cu 1.9102 2.6782 29.7618
Cu 1.9085 2.6782 32.3057
Cu 3.1967 0.8927 1.9184
Cu 3.1950 0.8927 4.4623
Cu 3.1948 0.8927 7.0019
Cu 3.1939 0.8927 9.5350
Cu 3.1858 0.8927 31.0484
Cu 3.1854 0.8927 33.5933
Cu 3.1928 0.8927 25.9180
Cu 3.1954 0.8927 28.5005
Cu 4.4739 2.6782 0.6381
Cu 4.4727 2.6782 3.1817
Cu 4.4756 2.6782 8.3089
Cu 4.4682 2.6782 27.2056
Cu 4.4667 2.6782 29.7806
Cu 4.4665 2.6782 32.3217
Cu 4.4806 2.6782 5.7276


4.
8
Lattice="5.5492 0.0000 0.0000 0.0000 3.9076 0.0000 -0.0061 0.0000 6.1512" Properties=species:S:1:pos:R:3 comment="GGA-PBE TbSi2Ni, relaxed" space_group="P2_1/m, No. 11" total_energy_ev_per_atom=-6.0334 magmom_total_mub_per_fu=0.0 pbc="T T T"
Tb 0.7006 0.9769 1.5355
Tb 4.8424 2.9307 4.6157
Si 1.9242 2.9307 3.3366
Si 1.9273 2.9307 5.8855
Si 3.6157 0.9769 0.2658
Si 3.6188 0.9769 2.8146
Ni 2.1097 0.9769 4.6098
Ni 3.4334 2.9307 1.5414


5.
30
Lattice="10.0204 0.0000 0.0000 0.0000 10.0204 0.0000 0.0000 0.0000 5.0836" Properties=species:S:1:pos:R:3 comment="GGA-PBE Ta7Al8, relaxed" space_group="P4_2/mnm, No. 136" total_energy_ev_per_atom=-7.6561 magmom_total_mub_per_fu=0.0 pbc="T T T"
Ta 0.0000 0.0000 0.0000
Ta 0.2412 3.7253 2.5418
Ta 0.9955 0.9955 2.5418
Ta 1.2849 5.2515 0.0000
Ta 3.7253 0.2412 2.5418
Ta 4.0147 6.0057 0.0000
Ta 4.7690 8.7355 0.0000
Ta 5.0102 5.0102 2.5418
Ta 5.2515 1.2849 0.0000
Ta 6.0057 4.0147 0.0000
Ta 6.2951 9.7792 2.5418
Ta 8.7355 4.7690 0.0000
Ta 9.0249 9.0249 2.5418
Ta 9.7792 6.2951 2.5418
Al 0.6238 2.6018 0.0000
Al 1.8374 8.1831 1.2731
Al 1.8374 8.1831 3.8106
Al 2.4085 5.6340 2.5418
Al 2.6018 0.6238 0.0000
Al 3.1729 3.1729 1.2688
Al 3.1729 3.1729 3.8149
Al 4.3864 7.6120 2.5418
Al 5.6340 2.4085 2.5418
Al 6.8476 6.8476 1.2688
Al 6.8476 6.8476 3.8149
Al 7.4187 9.3966 0.0000
Al 7.6120 4.3864 2.5418
Al 8.1831 1.8374 1.2731
Al 8.1831 1.8374 3.8106
Al 9.3966 7.4187 0.0000


6.
5
Lattice="-2.0026 2.0026 7.8372 2.0026 -2.0026 7.8372 2.0026 2.0026 -7.8372" Properties=species:S:1:pos:R:3 comment="GGA-PBE Zr2CuPb2, relaxed" space_group="I4/mmm, No. 139" total_energy_ev_per_atom=-5.0771 magmom_total_mub_per_fu=0.0 pbc="T T T"
Zr 2.0026 0.0000 3.9186
Zr 0.0000 2.0026 3.9186
Cu 0.0000 0.0000 0.0000
Pb 0.0000 0.0000 6.3674
Pb 0.0000 0.0000 9.3069


7.
8
Lattice="0.0000 4.7355 4.7355 4.7355 0.0000 4.7355 4.7355 4.7355 0.0000" Properties=species:S:1:pos:R:3 comment="GGA-PBE AuSe6I, relaxed" space_group="F-43m, No. 216" total_energy_ev_per_atom=-2.7043 pbc="T T T"
Au 0.0000 0.0000 0.0000
Se 4.7355 4.7355 2.7338
Se 4.7355 2.7338 4.7355
Se 6.7372 4.7355 4.7355
Se 2.7338 4.7355 4.7355
Se 4.7355 6.7372 4.7355
Se 4.7355 4.7355 6.7372
I 2.3678 2.3678 2.3678


8.
24
Lattice="14.9524 0.0000 0.0000 0.0000 3.5350 0.0000 0.0000 0.0000 10.0406" Properties=species:S:1:pos:R:3 comment="GGA-PBE RbNaTcS3, relaxed" space_group="Pnma, No. 62" total_energy_ev_per_atom=-4.8233 magmom_total_mub_per_fu=0.8 pbc="T T T"
Rb 1.9529 0.8837 0.0459
Rb 5.5233 2.6512 5.0662
Rb 9.4291 0.8837 4.9744
Rb 12.9996 2.6512 9.9947
Na 2.8555 2.6512 3.0660
Na 4.6207 0.8837 8.0863
Na 10.3317 2.6512 1.9543
Na 12.0969 0.8837 6.9746
Tc 0.5095 2.6512 6.0771
Tc 6.9667 0.8837 1.0568
Tc 7.9857 2.6512 8.9838
Tc 14.4429 0.8837 3.9635
S 0.2246 2.6512 2.3641
S 1.6151 0.8837 4.8884
S 2.6865 2.6512 7.3941
S 4.7897 0.8837 2.3738
S 5.8611 2.6512 9.9087
S 7.2516 0.8837 7.3844
S 7.7008 2.6512 2.6562
S 9.0913 0.8837 0.1319
S 10.1627 2.6512 7.6668
S 12.2659 0.8837 2.6465
S 13.3373 2.6512 5.1522
S 14.7279 0.8837 7.6765